A plane-wave DFT calculation with GGA-PBE was carried out for a geometry-optimized Rb2LiNiSe structure.

CIF file:
```
data_Rb2LiNiSe
_cell_length_a 6.7154
_cell_length_b 6.7154
_cell_length_c 4.3566
_cell_angle_alpha 90.00
_cell_angle_beta 90.00
_cell_angle_gamma 90.00
_symmetry_space_group_name_H-M 'P 4/m m m'
_symmetry_Int_Tables_number 123
_symmetry_space_group_name_Hall '-P 4 2'
loop_
_atom_site_label
_atom_site_type_symbol
_atom_site_fract_x
_atom_site_fract_y
_atom_site_fract_z
Rb1 Rb 0.0000 0.5000 0.0000
Li1 Li 0.0000 0.0000 0.5000
Ni1 Ni 0.5000 0.5000 0.0000
Se1 Se 0.5000 0.5000 0.5000
```

Values from the calculation:
Its total moment is 0.5 μB per formula unit. The formation energy from raw total energies comes out at -0.122 eV/atom. The calculation puts the density of states at the Fermi level at 2.769 states/eV per cell.